1.
Below is an optimized crystal structure of SiGeTeSe, with properties calculated at the PBE level.

Its crystal system is triclinic. The relative energy among the computed polymorphs comes out at 0.221 eV per atom. As for the density of states at the Fermi level: 0.7 states/eV per cell.

The space group is P1 (No. 1) and the conventional cell measures 3.8272, 5.7555 and 5.9281 Å, with angles of 95.29, 90.12 and 109.32 degrees. The distinct sites, in fractional coordinates, are Si at (0.0000, 0.0000, 0.0000), Ge at (0.1127, 0.2303, 0.6464), Te at (0.3346, 0.6682, 0.9441) and Se at (0.6058, 0.2187, 0.3816).

---

2.
Below is an optimized crystal structure of SiGeTeSe, with properties calculated at the PBE level.

Its crystal system is monoclinic. The relative energy among the computed polymorphs comes out at 0.000 eV per atom. As for the density of states at the Fermi level: 1.4 states/eV per cell.

The space group is Cm (No. 8) and the conventional cell measures 15.2644, 3.7406 and 4.1714 Å, with angles of 90.00, 92.41 and 90.00 degrees. The distinct sites, in fractional coordinates, are Si at (0.0000, 0.0000, 0.0000), Ge at (0.4164, 0.5000, 0.4910), Te at (0.3035, 0.0000, 0.5916) and Se at (0.0943, 0.5000, 0.0750).

---

3.
Below is an optimized crystal structure of SiGeTeSe, with properties calculated at the PBE level.

Its crystal system is monoclinic. The relative energy among the computed polymorphs comes out at 0.031 eV per atom.

The space group is Pm (No. 6) and the conventional cell measures 4.5046, 3.8651 and 6.6912 Å, with angles of 90.00, 108.36 and 90.00 degrees. The distinct sites, in fractional coordinates, are Si at (0.0000, 0.0000, 0.0000), Ge at (0.4402, 0.5000, 0.1361), Te at (0.6140, 0.5000, 0.7796) and Se at (0.8502, 0.0000, 0.3098).

---

4.
Below is an optimized crystal structure of Th8SiGe3Se4, with properties calculated at the PBE level.

Its crystal system is trigonal. As for the density of states at the Fermi level: 36.5 states/eV per cell.

The space group is R-3m (No. 166, hexagonal axes) and the conventional cell measures 8.5714, 8.5714 and 20.6805 Å, with angles of 90.00, 90.00 and 120.00 degrees. The distinct sites, in fractional coordinates, are Th at (0.0000, 0.0000, 0.2470), Th at (0.0054, 0.5027, 0.2457), Si at (0.0000, 0.0000, 0.5000), Ge at (0.0000, 0.5000, 0.5000), Se at (0.0000, 0.0000, 0.0000) and Se at (0.0000, 0.5000, 0.0000).

---

5.
Below is an optimized crystal structure of Th8SiGe4Se3, with properties calculated at the PBE level.

Its crystal system is trigonal. As for the density of states at the Fermi level: 22.3 states/eV per cell.

The space group is R-3m (No. 166, hexagonal axes) and the conventional cell measures 8.5710, 8.5710 and 20.8059 Å, with angles of 90.00, 90.00 and 120.00 degrees. The distinct sites, in fractional coordinates, are Th at (0.0000, 0.0000, 0.2464), Th at (0.0066, 0.5033, 0.7514), Si at (0.0000, 0.0000, 0.0000), Ge at (0.0000, 0.0000, 0.5000), Ge at (0.0000, 0.5000, 0.5000) and Se at (0.0000, 0.5000, 0.0000).

---

6.
Below is an optimized crystal structure of Th4SiGe2Se, with properties calculated at the PBE level.

Its crystal system is monoclinic. As for the density of states at the Fermi level: 4.8 states/eV per cell.

The space group is P2/m (No. 10) and the conventional cell measures 7.3896, 4.2883 and 7.4134 Å, with angles of 90.00, 109.52 and 90.00 degrees. The distinct sites, in fractional coordinates, are Th at (0.2444, 0.0000, 0.2413), Th at (0.2501, 0.5000, 0.7555), Si at (0.5000, 0.0000, 0.0000), Ge at (0.0000, 0.0000, 0.5000), Ge at (0.0000, 0.5000, 0.0000) and Se at (0.5000, 0.5000, 0.5000).

---

7.
Below is an optimized crystal structure of Th6Si2GeSe3, with properties calculated at the PBE level.

Its crystal system is monoclinic. As for the density of states at the Fermi level: 14.8 states/eV per cell.

The space group is C2/m (No. 12) and the conventional cell measures 18.5056, 4.2702 and 8.4929 Å, with angles of 90.00, 102.72 and 90.00 degrees. The distinct sites, in fractional coordinates, are Th at (0.0044, 0.0000, 0.2458), Th at (0.1651, 0.5000, 0.0950), Th at (0.1705, 0.5000, 0.5740), Si at (0.1667, 0.0000, 0.3334), Ge at (0.0000, 0.5000, 0.0000), Se at (0.0000, 0.5000, 0.5000) and Se at (0.1655, 0.0000, 0.8336).

---

8.
Below is an optimized crystal structure of Th4SiGeSe2, with properties calculated at the PBE level.

Its crystal system is monoclinic. As for the density of states at the Fermi level: 5.4 states/eV per cell.

The space group is P2/m (No. 10) and the conventional cell measures 7.3313, 4.2667 and 7.4207 Å, with angles of 90.00, 109.59 and 90.00 degrees. The distinct sites, in fractional coordinates, are Th at (0.2345, 0.0000, 0.2405), Th at (0.2376, 0.5000, 0.7505), Si at (0.0000, 0.5000, 0.0000), Ge at (0.0000, 0.0000, 0.5000), Se at (0.5000, 0.0000, 0.0000) and Se at (0.5000, 0.5000, 0.5000).

---

9.
Below is an optimized crystal structure of Th6SiGe2Se3, with properties calculated at the PBE level.

Its crystal system is monoclinic. As for the density of states at the Fermi level: 15.3 states/eV per cell.

The space group is C2/m (No. 12) and the conventional cell measures 18.5073, 4.2808 and 8.4909 Å, with angles of 90.00, 102.43 and 90.00 degrees. The distinct sites, in fractional coordinates, are Th at (0.0016, 0.0000, 0.2388), Th at (0.1622, 0.5000, 0.0870), Th at (0.1687, 0.5000, 0.5779), Si at (0.0000, 0.5000, 0.0000), Ge at (0.1667, 0.0000, 0.3337), Se at (0.0000, 0.5000, 0.5000) and Se at (0.1679, 0.0000, 0.8334).

---

10.
Below is an optimized crystal structure of TlSi2GeSe, with properties calculated at the PBE level.

Its crystal system is tetragonal. As for the density of states at the Fermi level: 2.3 states/eV per cell.

The space group is P4/mmm (No. 123) and the conventional cell measures 4.8864, 4.8864 and 5.2476 Å, with angles of 90.00, 90.00 and 90.00 degrees. The distinct sites, in fractional coordinates, are Tl at (0.0000, 0.0000, 0.0000), Si at (0.0000, 0.5000, 0.5000), Ge at (0.5000, 0.5000, 0.5000) and Se at (0.5000, 0.5000, 0.0000).

---

11.
Below is an optimized crystal structure of Tl2SiGeSe4, with properties calculated at the PBE level.

Its crystal system is orthorhombic.

The space group is Pmn2_1 (No. 31) and the conventional cell measures 9.3620, 8.9101 and 6.3017 Å, with angles of 90.00, 90.00 and 90.00 degrees. The distinct sites, in fractional coordinates, are Tl at (0.2334, 0.1550, 0.0000), Si at (0.0000, 0.3862, 0.5712), Ge at (0.0000, 0.6735, 0.0402), Se at (0.0000, 0.4020, 0.9420), Se at (0.0000, 0.6343, 0.4487) and Se at (0.2010, 0.2553, 0.4847).

---

12.
Below is an optimized crystal structure of Tm8Si3GeSe4, with properties calculated at the PBE level.

Its crystal system is trigonal. As for the density of states at the Fermi level: 8.8 states/eV per cell.

The space group is R-3m (No. 166, hexagonal axes) and the conventional cell measures 8.1165, 8.1165 and 20.1040 Å, with angles of 90.00, 90.00 and 120.00 degrees. The distinct sites, in fractional coordinates, are Tm at (0.0000, 0.0000, 0.2446), Tm at (0.0010, 0.5005, 0.7552), Si at (0.0000, 0.5000, 0.5000), Ge at (0.0000, 0.0000, 0.5000), Se at (0.0000, 0.0000, 0.0000) and Se at (0.0000, 0.5000, 0.0000).

---

Quick rundown of formation energy from raw total energies, same order as above: 0.1263 -0.0948 -0.0634 -1.2103 -1.1107 -0.9865 -1.1955 -1.2013 -1.2088 0.6278 -0.3562 -1.2829 eV per atom